Compound: MgSnAsCl2
Source: Alexandria
Functional: PBE-GGA
Structure: optimized geometry

```
data_MgSnAsCl2
_space_group_name_H-M_alt 'P 4/m m m'
_space_group_IT_number 123
_space_group_name_Hall '-P 4 2'
_cell_length_a 5.023
_cell_length_b 5.023
_cell_length_c 5.507
_cell_angle_alpha 90.00
_cell_angle_beta 90.00
_cell_angle_gamma 90.00
loop_
_atom_site_label
_atom_site_fract_x
_atom_site_fract_y
_atom_site_fract_z
Mg1 0.000 0.000 0.000
Sn1 0.500 0.500 0.000
As1 0.000 0.000 0.500
Cl1 0.000 0.500 0.500
```

## Properties
Total energy = -14.0 eV per cell
Energy relative to the elements, uncorrected = -0.01 eV per atom